A.
Crystalline Ba2RuRh at its relaxed geometry. Source: Alexandria via LeMat-Bulk, functional PBE.

a = 4.9796 Å, b = 4.9796 Å, c = 6.7643 Å
α = 100.24°, β = 100.24°, γ = 42.33°
Positions (direct):
Ba: 0.2498 0.2498 0.2495
Ba: 0.7502 0.7502 0.7505
Ru: 0.0000 0.0000 0.5000
Rh: 0.5000 0.5000 0.0000

B.
Crystalline Ba2RuRh at its relaxed geometry. Source: Alexandria via LeMat-Bulk, functional PBE.

a = 7.6983 Å, b = 7.6983 Å, c = 7.6983 Å
α = 147.02°, β = 144.26°, γ = 49.42°
Positions (direct):
Ba: 0.0000 0.0000 0.0000
Ba: 0.7522 0.2522 0.5000
Ru: 0.3445 0.8445 0.5000
Rh: 0.4120 0.4120 0.0000

C.
Crystalline Ba2RuRh at its relaxed geometry. Source: Alexandria via LeMat-Bulk, functional PBE.

a = 5.2772 Å, b = 5.2772 Å, c = 5.2772 Å
α = 60.00°, β = 60.00°, γ = 60.00°
Positions (direct):
Ba: 0.0000 0.0000 0.0000
Ba: 0.2500 0.2500 0.2500
Ru: 0.7500 0.7500 0.7500
Rh: 0.5000 0.5000 0.5000

D.
Crystalline Ba2RuRh at its relaxed geometry. Source: Alexandria via LeMat-Bulk, functional PBE.

a = 9.2817 Å, b = 9.2817 Å, c = 9.2817 Å
α = 23.37°, β = 23.37°, γ = 23.37°
Positions (direct):
Ba: 0.2491 0.2491 0.2491
Ba: 0.7509 0.7509 0.7509
Ru: 0.0000 0.0000 0.0000
Rh: 0.5000 0.5000 0.5000

The data favor B; the next most stable structure lies 509 meV/atom above it.

A.
Crystalline Ba2RuRh at its relaxed geometry. Source: Alexandria via LeMat-Bulk, functional PBE.

a = 4.5008 Å, b = 6.1582 Å, c = 6.1582 Å
α = 47.59°, β = 90.00°, γ = 90.00°
Positions (direct):
Ba: 0.0000 0.0000 0.0000
Ba: 0.5000 0.2889 0.2889
Ru: 0.5000 0.6074 0.6074
Rh: 0.0000 0.6860 0.6860

B.
Crystalline Ba2RuRh at its relaxed geometry. Source: Alexandria via LeMat-Bulk, functional PBE.

a = 3.6591 Å, b = 3.6591 Å, c = 9.2417 Å
α = 90.00°, β = 90.00°, γ = 90.10°
Positions (direct):
Ba: 0.0000 0.0000 0.0000
Ba: 0.5000 0.5000 0.4423
Ru: 0.0000 0.0000 0.6882
Rh: 0.5000 0.5000 0.7617

The data favor A; the next most stable structure lies 244 meV/atom above it.

A.
Crystalline BaRu3Rh at its relaxed geometry. Source: Alexandria via LeMat-Bulk, functional PBE.

a = 4.9266 Å, b = 4.9266 Å, c = 4.9266 Å
α = 90.00°, β = 90.00°, γ = 90.00°
Positions (direct):
Ba: 0.0000 0.0000 0.0000
Ru: 0.0000 0.0000 0.5000
Ru: 0.0000 0.5000 0.0000
Ru: 0.5000 0.0000 0.0000
Rh: 0.5000 0.5000 0.5000

B.
Crystalline BaRu3Rh at its relaxed geometry. Source: Alexandria via LeMat-Bulk, functional PBE.

a = 4.8260 Å, b = 4.8260 Å, c = 4.8260 Å
α = 90.00°, β = 90.00°, γ = 90.00°
Positions (direct):
Ba: 0.0000 0.0000 0.0000
Ru: 0.0000 0.5000 0.5000
Ru: 0.5000 0.0000 0.5000
Ru: 0.5000 0.5000 0.0000
Rh: 0.5000 0.5000 0.5000

The data favor B; the next most stable structure lies 1669 meV/atom above it.

A.
Crystalline BaRh3S at its relaxed geometry. Source: Alexandria via LeMat-Bulk, functional PBE.

a = 5.1370 Å, b = 5.1370 Å, c = 5.1370 Å
α = 90.00°, β = 90.00°, γ = 90.00°
Positions (direct):
Ba: 0.0000 0.0000 0.0000
Rh: 0.0000 0.0000 0.5000
Rh: 0.0000 0.5000 0.0000
Rh: 0.5000 0.0000 0.0000
S: 0.5000 0.5000 0.5000

B.
Crystalline BaRh3S at its relaxed geometry. Source: Alexandria via LeMat-Bulk, functional PBE.

a = 4.6031 Å, b = 4.6031 Å, c = 4.6031 Å
α = 90.00°, β = 90.00°, γ = 90.00°
Positions (direct):
Ba: 0.0000 0.0000 0.0000
Rh: 0.0000 0.5000 0.5000
Rh: 0.5000 0.0000 0.5000
Rh: 0.5000 0.5000 0.0000
S: 0.5000 0.5000 0.5000

The data favor B; the next most stable structure lies 2203 meV/atom above it.

A.
Crystalline BaSbRh3 at its relaxed geometry. Source: Alexandria via LeMat-Bulk, functional PBE.

a = 5.0707 Å, b = 5.0707 Å, c = 5.0707 Å
α = 90.00°, β = 90.00°, γ = 90.00°
Positions (direct):
Ba: 0.0000 0.0000 0.0000
Sb: 0.5000 0.5000 0.5000
Rh: 0.0000 0.0000 0.5000
Rh: 0.0000 0.5000 0.0000
Rh: 0.5000 0.0000 0.0000

B.
Crystalline BaSbRh3 at its relaxed geometry. Source: Alexandria via LeMat-Bulk, functional PBE.

a = 4.9620 Å, b = 4.9620 Å, c = 4.9620 Å
α = 90.00°, β = 90.00°, γ = 90.00°
Positions (direct):
Ba: 0.0000 0.0000 0.0000
Sb: 0.5000 0.5000 0.5000
Rh: 0.0000 0.5000 0.5000
Rh: 0.5000 0.0000 0.5000
Rh: 0.5000 0.5000 0.0000

The data favor B; the next most stable structure lies 1500 meV/atom above it.

A.
Crystalline Ba3Sb4Rh4 at its relaxed geometry. Source: Alexandria via LeMat-Bulk, functional PBE.

a = 4.5663 Å, b = 4.7965 Å, c = 13.8618 Å
α = 99.95°, β = 99.43°, γ = 90.16°
Positions (direct):
Ba: 0.0000 0.0000 0.0000
Ba: 0.3519 0.8532 0.7039
Ba: 0.6481 0.1468 0.2961
Sb: 0.2008 0.7007 0.4029
Sb: 0.4451 0.4470 0.8897
Sb: 0.5549 0.5530 0.1103
Sb: 0.7992 0.2993 0.5971
Rh: 0.1031 0.6025 0.2072
Rh: 0.2489 0.2471 0.4955
Rh: 0.7511 0.7529 0.5045
Rh: 0.8969 0.3975 0.7928

B.
Crystalline Ba3Sb4Rh4 at its relaxed geometry. Source: Alexandria via LeMat-Bulk, functional PBE.

a = 7.2152 Å, b = 7.2152 Å, c = 7.2152 Å
α = 109.47°, β = 109.47°, γ = 109.47°
Positions (direct):
Ba: 0.0000 0.5000 0.5000
Ba: 0.5000 0.0000 0.5000
Ba: 0.5000 0.5000 0.0000
Sb: 0.0000 0.0000 0.6336
Sb: 0.0000 0.6336 0.0000
Sb: 0.3664 0.3664 0.3664
Sb: 0.6336 0.0000 0.0000
Rh: 0.0000 0.0000 0.2709
Rh: 0.0000 0.2709 0.0000
Rh: 0.2709 0.0000 0.0000
Rh: 0.7291 0.7291 0.7291

The data favor A; the next most stable structure lies 8 meV/atom above it.